Compound: NaSCl3
Source: Alexandria
Functional: PBEsol
Structure: optimized geometry

a b c (Å): 5.118 5.118 5.118
angles (deg): 90.00 90.00 90.00
Fractional coordinates of all 5 atoms:
Na  0.000  0.000  0.000
S  0.500  0.500  0.500
Cl  0.000  0.500  0.000
Cl  0.000  0.000  0.500
Cl  0.500  0.000  0.000

density of states at the Fermi level	1.21	states/eV/atom
raw formation energy	0.204	eV per atom
space group	Pm-3m
calculated total energy	-2.157	eV/atom

Compound: CrCuRu2
Source: Alexandria
Functional: PBEsol
Structure: optimized geometry

a b c (Å): 4.177 4.177 4.177
angles (deg): 60.00 60.00 60.00
Fractional coordinates of all 4 atoms:
Cr  0.500  0.500  0.500
Cu  0.250  0.250  0.250
Ru  0.000  0.000  0.000
Ru  0.750  0.750  0.750

density of states at the Fermi level	1.44	states/eV/atom
ΔH_f (0 K)	0.458	eV per atom
space group	F-43m
calculated total energy	-8.273	eV/atom

no.,magnetization (μB per cell)
1,4.1
2,2.4